Density functional theory data (GGA-PBE) for a relaxed Cs2PBr5O crystal.

Cell and atoms, written as CIF:
```
data_Cs2PBr5O
_chemical_formula_sum 'Cs4 P2 Br10 O2'
_symmetry_space_group_name_H-M 'I 4 m m'
_symmetry_Int_Tables_number 107
_symmetry_space_group_name_Hall 'I 4 -2'
_cell_length_a 7.559
_cell_length_b 7.559
_cell_length_c 11.064
_cell_angle_alpha 90.00
_cell_angle_beta 90.00
_cell_angle_gamma 90.00
loop_
_atom_site_label
_atom_site_type_symbol
_atom_site_fract_x
_atom_site_fract_y
_atom_site_fract_z
_atom_site_occupancy
Cs1 Cs 0.000 0.500 0.000 1
P1 P 0.000 0.000 0.224 1
Br1 Br 0.000 0.000 0.458 1
Br2 Br 0.232 0.232 0.248 1
O1 O 0.000 0.000 0.089 1
```

Calculated values
- total magnetization (μB/cell) = 0.0
- ΔE_f (raw) (meV/atom) = -1075
- VASP energy (eV per atom) = -3.3458